This record from the Alexandria database describes an optimized crystal structure of AlCrPO2. The functional is PBE+U.

DOS(E_F) in states/eV/cell: 1.538
Calculated volume in Å³/cell: 75.6
Calculated total energy in eV per cell: -31.12

Cell lengths 3.5400, 3.5400, 6.0362 Å; angles 90.00, 90.00, 90.00 degrees
Site moments in Bohr magnetons follow the coordinates.
Atoms (fractional coordinates):
Cr: 0.5000 0.5000 0.5000  3.72
O: 0.5000 0.0000 0.0000  -0.42
Al: 0.0000 0.0000 0.0000  0.01
O: 0.0000 0.5000 0.0000  -0.42
P: 0.0000 0.0000 0.5000  -0.43